Computed, not measured: a geometry-optimized Dy4PaBi5 structure at the PBE level of DFT.

abc: 6.338 7.750 7.750
angles: 80.38 65.87 65.87
Fractional coordinates of all 10 atoms:
1 Dy 0.200 0.201 0.401
2 Dy 0.802 0.799 0.599
3 Dy 0.401 0.401 0.799
4 Dy 0.601 0.599 0.201
5 Bi 0.902 0.399 0.800
6 Bi 0.702 0.200 0.399
7 Bi 0.300 0.800 0.601
8 Bi 0.100 0.601 0.200
9 Bi 0.501 0.000 0.000
10 Pa 0.001 0.000 0.000

Computed properties:
- DFT formation energy (meV/atom) = -695
- V (A^3/atom) = 31.71